(1)
This record from the Open Quantum Materials Database describes an optimized crystal structure of TaCdW. The functional is PBE-GGA.

Cell lengths 4.515, 4.515, 4.515 Å; angles 60.00, 60.00, 60.00 degrees
Atoms (fractional coordinates):
Ta1 0.000 0.000 0.000
Cd1 0.500 0.500 0.500
W1 0.750 0.750 0.750

energy above the lowest structure with this stoichiometry: 0.000 eV/atom
calculated total energy: -22.0 eV per formula unit



(2)
This record from the Open Quantum Materials Database describes an optimized crystal structure of TaZnCd2. The functional is PBE-GGA.

Cell lengths 4.716, 4.716, 4.716 Å; angles 60.00, 60.00, 60.00 degrees
Atoms (fractional coordinates):
Ta1 0.000 0.000 0.000
Zn1 0.750 0.750 0.750
Cd1 0.250 0.250 0.250
Cd2 0.500 0.500 0.500

energy above the lowest structure with this stoichiometry: 0.000 eV/atom
calculated total energy: -12.9 eV per formula unit



The records above yield ΔE_f values of 1.224, 0.493 eV per atom, respectively.